# Zr2ZnPt | the Alexandria database | GGA-PBEsol | optimized geometry
data_Zr2ZnPt
_chemical_formula_sum 'Zr8 Zn4 Pt4'
_cell_length_a 6.5352
_cell_length_b 6.5352
_cell_length_c 6.5352
_cell_angle_alpha 90.00
_cell_angle_beta 90.00
_cell_angle_gamma 90.00
_symmetry_space_group_name_H-M 'F -4 3 m'
_symmetry_Int_Tables_number 216
_symmetry_space_group_name_Hall 'F -4 2 3'
loop_
_atom_site_label
_atom_site_fract_x
_atom_site_fract_y
_atom_site_fract_z
Zr1 0.0000 0.0000 0.0000
Zr2 0.2500 0.2500 0.2500
Zn1 0.2500 0.2500 0.7500
Pt1 0.0000 0.0000 0.5000
# energy relative to the elements	-1.35	eV/f.u.
# crystal system	cubic

***

# TlS2I | the Alexandria database | GGA-PBEsol | optimized geometry
data_TlS2I
_chemical_formula_sum 'Tl3 S6 I3'
_cell_length_a 4.0707
_cell_length_b 4.0707
_cell_length_c 23.8829
_cell_angle_alpha 90.00
_cell_angle_beta 90.00
_cell_angle_gamma 120.00
_symmetry_space_group_name_H-M 'R -3 m'
_symmetry_Int_Tables_number 166
_symmetry_space_group_name_Hall '-R 3 2"'
loop_
_atom_site_label
_atom_site_fract_x
_atom_site_fract_y
_atom_site_fract_z
Tl1 0.0000 0.0000 0.0000
S1 0.0000 0.0000 0.3914
I1 0.0000 0.0000 0.5000
# raw formation energy	0.012	eV/atom
# crystal system	trigonal

***

# TeCl3 | the Alexandria database | GGA-PBEsol | optimized geometry
data_TeCl3
_chemical_formula_sum 'Te4 Cl12'
_cell_length_a 9.8237
_cell_length_b 12.7965
_cell_length_c 3.5381
_cell_angle_alpha 90.00
_cell_angle_beta 90.00
_cell_angle_gamma 90.00
_symmetry_space_group_name_H-M 'C m c m'
_symmetry_Int_Tables_number 63
_symmetry_space_group_name_Hall '-C 2c 2'
loop_
_atom_site_label
_atom_site_fract_x
_atom_site_fract_y
_atom_site_fract_z
Te1 0.0000 0.1564 0.2500
Cl1 0.0000 0.3321 0.7500
Cl2 0.1925 0.1235 0.7500
# raw formation energy	-0.215	eV/atom
# crystal system	orthorhombic

***

# KAgRu2 | the Alexandria database | GGA-PBEsol | optimized geometry
data_KAgRu2
_chemical_formula_sum 'K1 Ag1 Ru2'
_cell_length_a 5.2417
_cell_length_b 5.2417
_cell_length_c 2.5444
_cell_angle_alpha 90.00
_cell_angle_beta 90.00
_cell_angle_gamma 90.00
_symmetry_space_group_name_H-M 'P 4/m m m'
_symmetry_Int_Tables_number 123
_symmetry_space_group_name_Hall '-P 4 2'
loop_
_atom_site_label
_atom_site_fract_x
_atom_site_fract_y
_atom_site_fract_z
K1 0.0000 0.0000 0.0000
Ag1 0.5000 0.5000 0.0000
Ru1 0.0000 0.5000 0.5000
# energy relative to the elements	5.96	eV/f.u.
# crystal system	tetragonal

***

# ZrCdW2I | the Alexandria database | GGA-PBEsol | optimized geometry
data_ZrCdW2I
_chemical_formula_sum 'Zr1 Cd1 W2 I1'
_cell_length_a 4.8281
_cell_length_b 4.8281
_cell_length_c 5.2023
_cell_angle_alpha 90.00
_cell_angle_beta 90.00
_cell_angle_gamma 90.00
_symmetry_space_group_name_H-M 'P 4/m m m'
_symmetry_Int_Tables_number 123
_symmetry_space_group_name_Hall '-P 4 2'
loop_
_atom_site_label
_atom_site_fract_x
_atom_site_fract_y
_atom_site_fract_z
Zr1 0.0000 0.0000 0.0000
Cd1 0.5000 0.5000 0.0000
W1 0.0000 0.5000 0.5000
I1 0.5000 0.5000 0.5000
# raw formation energy	2.302	eV/atom
# crystal system	tetragonal

***

# BaNd2CuO5 | the Alexandria database | GGA-PBEsol | optimized geometry
data_BaNd2CuO5
_chemical_formula_sum 'Ba2 Nd4 Cu2 O10'
_cell_length_a 6.6677
_cell_length_b 6.6677
_cell_length_c 5.7909
_cell_angle_alpha 90.00
_cell_angle_beta 90.00
_cell_angle_gamma 90.00
_symmetry_space_group_name_H-M 'P 4/m b m'
_symmetry_Int_Tables_number 127
_symmetry_space_group_name_Hall '-P 4 2ab'
loop_
_atom_site_label
_atom_site_fract_x
_atom_site_fract_y
_atom_site_fract_z
Ba1 0.0000 0.0000 0.0000
Nd1 0.1719 0.3281 0.5000
Cu1 0.0000 0.5000 0.0000
O1 0.0000 0.0000 0.5000
O2 0.1391 0.6391 0.2425
# raw formation energy	-2.626	eV/atom
# crystal system	tetragonal